## KFeGe3 (SCAN)

Data for KFeGe3 at its PBEsol-relaxed geometry.

a b c (Å): 4.670 4.670 4.670
angles (deg): 90.00 90.00 90.00
Atoms (fractional coordinates):
1 K 0.000 0.000 0.000
2 Fe 0.500 0.500 0.500
3 Ge 0.000 0.500 0.500
4 Ge 0.500 0.000 0.500
5 Ge 0.500 0.500 0.000

## Properties
As for the formation energy: 0.130 eV per atom. The calculation puts the total energy at -16.6145 eV per atom. The calculated volume is 20.369 A^3/atom.